# 1
A geometry-optimized Ba2IrPb structure, computed with GGA-PBEsol. Values from VASP.

- VASP energy: -4.69 eV/atom
- Spin magnetization: 0.0 μB per formula unit

```
&SYSTEM
  ibrav = 0, nat = 4, ntyp = 3
/
ATOMIC_SPECIES
Pb 207.20 Pb.upf
Ba 137.33 Ba.upf
Ir 192.22 Ir.upf
ATOMIC_POSITIONS crystal
Pb 0.689 0.500 0.378
Ba 0.384 0.500 0.769
Ir 0.819 0.000 0.638
Ba 0.089 0.000 0.179
CELL_PARAMETERS angstrom
5.138 0.000 0.000
0.000 4.457 0.000
-2.569 0.000 5.844
```



# 2
A geometry-optimized Mn2Si2O7 structure, computed with GGA-PBEsol. Values from VASP.

- VASP energy: -8.31 eV/atom
- Spin magnetization: 8.0 μB per formula unit

```
&SYSTEM
  ibrav = 0, nat = 22, ntyp = 3
/
ATOMIC_SPECIES
O 16.00 O.upf
Mn 54.94 Mn.upf
Si 28.09 Si.upf
ATOMIC_POSITIONS crystal
O 0.802 0.712 0.635
Mn 0.970 0.030 0.250
O 0.712 0.802 0.365
Mn 0.000 0.000 0.000
O 0.198 0.288 0.135
Si 0.661 0.339 0.868
O 0.288 0.198 0.635
O 0.712 0.802 0.135
Mn 0.030 0.970 0.750
Mn 0.000 0.000 0.500
O 0.288 0.198 0.865
O 0.784 0.216 0.532
O 0.784 0.216 0.968
O 0.764 0.236 0.750
O 0.236 0.764 0.250
O 0.198 0.288 0.365
Si 0.661 0.339 0.632
O 0.802 0.712 0.865
Si 0.339 0.661 0.368
O 0.216 0.784 0.032
O 0.216 0.784 0.468
Si 0.339 0.661 0.132
CELL_PARAMETERS angstrom
-2.558 -1.988 -3.642
4.734 -1.158 0.041
-2.444 -9.742 7.033
```



# 3
A geometry-optimized Nd2Ge3Pt structure, computed with GGA-PBEsol. Values from VASP.

- VASP energy: -6.27 eV/atom
- Spin magnetization: 0.0 μB per formula unit

```
&SYSTEM
  ibrav = 0, nat = 6, ntyp = 3
/
ATOMIC_SPECIES
Ge 72.64 Ge.upf
Nd 144.24 Nd.upf
Pt 195.08 Pt.upf
ATOMIC_POSITIONS crystal
Ge 0.500 0.000 0.832
Ge 0.500 0.500 0.664
Nd 0.000 0.000 0.500
Nd 0.000 0.500 0.002
Ge 0.500 0.000 0.174
Pt 0.500 0.500 0.328
CELL_PARAMETERS angstrom
-0.378 4.016 0.677
-1.350 0.566 -4.109
-6.835 -0.999 2.109
```



Q: The lowest VASP energy belongs to which entry?
A: Mn2Si2O7



Q: Number 2 is which compound?
A: Mn2Si2O7



Q: Which of these has the highest spin magnetization?
A: Mn2Si2O7